First-principles (PBE) data for Rb2CuPbF6 after structural relaxation, as listed in the Alexandria database.

Output
Its total DFT energy (no corrections) is -4.379 eV/atom.

Lattice parameters (Å, degrees): 6.2220 6.2220 9.3388 90.00 90.00 90.00
Last column: nearest neighbours and their distance in Å.
Space group I4/mmm (No. 139)
One atom of each set of equivalent atoms:
Rb  0.0000  0.5000  0.2500 [4 per cell]  12 F 3.11-3.22
Cu  0.0000  0.0000  0.0000 [2 per cell]  4 F 1.98
Pb  0.0000  0.0000  0.5000 [2 per cell]  6 F 2.38-2.42
F  0.0000  0.0000  0.2449 [4 per cell]  1 Cu 2.29, 1 Pb 2.38
F  0.2249  0.2249  0.0000 [8 per cell]  1 Cu 1.98

First-principles (PBE) data for HfSiMo3 after structural relaxation, as listed in the Alexandria database.

Output
Its total DFT energy (no corrections) is -7.411 eV/atom.

Lattice parameters (Å, degrees): 4.7628 4.7628 4.7628 90.00 90.00 90.00
Last column: nearest neighbours and their distance in Å.
Space group Pm-3m (No. 221)
One atom of each set of equivalent atoms:
Hf  0.0000  0.0000  0.0000 [1 per cell]  6 Mo 2.38
Si  0.5000  0.5000  0.5000 [1 per cell]  12 Mo 3.37
Mo  0.0000  0.0000  0.5000 [3 per cell]  2 Hf 2.38

Number 1: ΔE_f (raw) -2.28 eV/atom, total magnetization 0.100 μB per atom. Number 2: ΔE_f (raw) 2.16 eV/atom, total magnetization 0.000 μB per atom.